Entry from Alexandria via LeMat-Bulk: a relaxed structure of KTb3Tm2Te6 (PBE).

Calculated total energy ... -57.9 eV for the cell shown
Uncorrected formation energy ... -15.15 eV/f.u.

a b c (Å): 4.364 8.955 9.886
angles (deg): 103.46 102.75 90.00
Fractional positions:
1 Tb 0.158 0.816 0.316
2 Te 0.324 0.911 0.649
3 K 0.500 0.000 0.000
4 Te 0.332 0.422 0.664
5 Tm 0.833 0.660 0.666
6 Tm 0.167 0.340 0.334
7 Tb 0.842 0.184 0.684
8 Te 0.676 0.089 0.351
9 Tb 0.500 0.500 0.000
10 Te 0.668 0.578 0.336
11 Te 0.006 0.265 0.011
12 Te 0.994 0.735 0.989



Entry from Alexandria via LeMat-Bulk: a relaxed structure of K4TbTm3Te8 (PBE).

Calculated total energy ... -69.6 eV for the cell shown
Uncorrected formation energy ... -22.06 eV/f.u.

a b c (Å): 8.933 9.721 8.934
angles (deg): 117.36 119.99 90.00
Fractional positions:
1 Tm 0.500 0.500 0.000
2 Tm 0.000 0.500 0.500
3 Te 0.265 0.295 0.530
4 Te 0.268 0.293 0.030
5 Te 0.763 0.293 0.030
6 Te 0.237 0.707 0.475
7 Te 0.237 0.707 0.970
8 K 0.500 0.000 0.500
9 K 0.000 0.000 0.500
10 K 0.500 0.000 0.000
11 K 0.000 0.000 0.000
12 Tm 0.500 0.500 0.500
13 Tb 0.000 0.500 0.000
14 Te 0.735 0.705 0.470
15 Te 0.763 0.293 0.525
16 Te 0.732 0.707 0.970



Entry from Alexandria via LeMat-Bulk: a relaxed structure of K3TbU3Te8 (PBE).

Calculated total energy ... -81.1 eV for the cell shown
Uncorrected formation energy ... -14.16 eV/f.u.

a b c (Å): 8.950 8.992 9.873
angles (deg): 117.21 89.99 119.92
Fractional positions:
1 Te 0.265 0.028 0.292
2 U 0.500 0.500 0.500
3 K 0.500 0.500 0.000
4 Te 0.737 0.475 0.712
5 Te 0.237 0.473 0.708
6 K 0.000 0.000 0.000
7 K 0.000 0.500 0.000
8 U 0.500 0.000 0.500
9 Te 0.735 0.972 0.708
10 U 0.000 0.500 0.500
11 Te 0.763 0.027 0.291
12 Te 0.237 0.973 0.709
13 Te 0.263 0.525 0.288
14 Te 0.763 0.527 0.292
15 Tb 0.000 0.000 0.500



Entry from Alexandria via LeMat-Bulk: a relaxed structure of K4TbU3Te8 (PBE).

Calculated total energy ... -83.7 eV for the cell shown
Uncorrected formation energy ... -15.66 eV/f.u.

a b c (Å): 9.002 9.792 9.003
angles (deg): 117.37 120.00 90.00
Fractional positions:
1 Tb 0.000 0.500 0.000
2 K 0.500 0.000 0.000
3 K 0.000 0.000 0.500
4 Te 0.261 0.288 0.025
5 Te 0.739 0.712 0.975
6 U 0.500 0.500 0.000
7 Te 0.236 0.712 0.975
8 Te 0.737 0.712 0.475
9 K 0.500 0.000 0.500
10 Te 0.236 0.712 0.472
11 Te 0.263 0.288 0.525
12 U 0.000 0.500 0.500
13 K 0.000 0.000 0.000
14 Te 0.764 0.288 0.528
15 Te 0.764 0.288 0.025
16 U 0.500 0.500 0.500